Density functional theory data (PBE with a Hubbard U) for MnSeN2F after structural relaxation.

Computed properties:
The relative energy among the computed polymorphs comes out at 1185 meV per atom. Its symmetry is P4/mmm (123). As for the density of states at the Fermi level: 4.26 states/eV/f.u. The calculated density is 4.37 g/cm3.

Cell lengths 4.0852, 4.0852, 4.1192 Å; angles 90.00, 90.00, 90.00 degrees
Each line ends with the local moment (μB).
Positions (direct):
N 0.0000 0.5000 0.0000  0.46
N 0.5000 0.0000 0.0000  0.46
Mn 0.5000 0.5000 0.5000  4.61
Se 0.0000 0.0000 0.5000  -0.08
F 0.0000 0.0000 0.0000  0.01